A:
Below is a relaxed Th2CuC crystal, with properties calculated at the PBE level.

```
data_Th2CuC
_chemical_formula_sum 'Th4 Cu2 C2'
_symmetry_space_group_name_H-M 'P 1'
_symmetry_Int_Tables_number 1
_cell_length_a 9.208
_cell_length_b 9.208
_cell_length_c 5.148
_cell_angle_alpha 90.00
_cell_angle_beta 90.00
_cell_angle_gamma 156.95
loop_
_symmetry_equiv_pos_as_xyz
'x,y,z'
loop_
_atom_site_label
_atom_site_fract_x
_atom_site_fract_y
_atom_site_fract_z
Th1 0.093 0.907 0.750
Th2 0.295 0.705 0.750
Th3 0.705 0.295 0.250
Th4 0.907 0.093 0.250
Cu1 0.462 0.538 0.750
Cu2 0.538 0.462 0.250
C1 0.312 0.688 0.250
C2 0.688 0.312 0.750
```

Summary:
Density of states at the Fermi level in states/eV/f.u.: 3.11


B:
Below is a relaxed Th2CuC crystal, with properties calculated at the PBE level.

```
data_Th2CuC
_chemical_formula_sum 'Th4 Cu2 C2'
_symmetry_space_group_name_H-M 'P 1'
_symmetry_Int_Tables_number 1
_cell_length_a 11.483
_cell_length_b 11.483
_cell_length_c 3.884
_cell_angle_alpha 90.00
_cell_angle_beta 90.00
_cell_angle_gamma 160.75
loop_
_symmetry_equiv_pos_as_xyz
'x,y,z'
loop_
_atom_site_label
_atom_site_fract_x
_atom_site_fract_y
_atom_site_fract_z
Th1 0.086 0.914 0.750
Th2 0.305 0.695 0.750
Th3 0.695 0.305 0.250
Th4 0.914 0.086 0.250
Cu1 0.466 0.534 0.750
Cu2 0.534 0.466 0.250
C1 0.195 0.805 0.750
C2 0.805 0.195 0.250
```

Summary:
Density of states at the Fermi level in states/eV/f.u.: 3.43


We find B to be the most stable, with the next structure 0.021 eV/atom higher.


A:
Below is a relaxed Ti3CuC crystal, with properties calculated at the PBE level.

```
data_Ti3CuC
_chemical_formula_sum 'Ti6 Cu2 C2'
_symmetry_space_group_name_H-M 'P 1'
_symmetry_Int_Tables_number 1
_cell_length_a 5.546
_cell_length_b 5.546
_cell_length_c 8.323
_cell_angle_alpha 90.00
_cell_angle_beta 90.00
_cell_angle_gamma 147.61
loop_
_symmetry_equiv_pos_as_xyz
'x,y,z'
loop_
_atom_site_label
_atom_site_fract_x
_atom_site_fract_y
_atom_site_fract_z
Ti1 0.051 0.949 0.750
Ti2 0.372 0.628 0.553
Ti3 0.372 0.628 0.947
Ti4 0.628 0.372 0.053
Ti5 0.628 0.372 0.447
Ti6 0.949 0.051 0.250
Cu1 0.251 0.749 0.250
Cu2 0.749 0.251 0.750
C1 0.000 0.000 0.000
C2 0.000 0.000 0.500
```

Summary:
Density of states at the Fermi level in states/eV/f.u.: 3.24


B:
Below is a relaxed Ti3CuC crystal, with properties calculated at the PBE level.

```
data_Ti3CuC
_chemical_formula_sum 'Ti3 Cu1 C1'
_symmetry_space_group_name_H-M 'P 1'
_symmetry_Int_Tables_number 1
_cell_length_a 4.479
_cell_length_b 4.479
_cell_length_c 4.479
_cell_angle_alpha 90.00
_cell_angle_beta 90.00
_cell_angle_gamma 90.00
loop_
_symmetry_equiv_pos_as_xyz
'x,y,z'
loop_
_atom_site_label
_atom_site_fract_x
_atom_site_fract_y
_atom_site_fract_z
Ti1 0.000 0.000 0.500
Ti2 0.000 0.500 0.000
Ti3 0.500 0.000 0.000
Cu1 0.000 0.000 0.000
C1 0.500 0.500 0.500
```

Summary:
Density of states at the Fermi level in states/eV/f.u.: 5.78


We find A to be the most stable, with the next structure 2.042 eV/atom higher.